Record 1
Computed, not measured: a relaxed EuInGa crystal at the PBE level of DFT.

Lattice parameters (Å, degrees): 6.903 6.903 6.903 90.00 90.00 90.00
Space group F-43m (No. 216)
Asymmetric unit:
Eu1 0.000 0.000 0.000 x4
In1 0.000 0.000 0.500 x4
Ga1 0.250 0.250 0.750 x4

Summary:
As for the formation energy from the elements: -42 kJ per mole of atoms. For the relative energy among the computed polymorphs, the calculation gives 16 meV/atom. Its total magnetization is 27.87 μB/cell.

Record 2
Computed, not measured: a relaxed ThMg4Ni2 crystal at the PBE level of DFT.

Lattice parameters (Å, degrees): 4.072 16.793 4.083 90.00 90.00 90.00
Space group Cmmm (No. 65)
Asymmetric unit:
Th1 0.000 0.000 0.000 x2
Mg1 0.000 0.173 0.500 x4
Mg2 0.000 0.325 0.000 x4
Ni1 0.000 0.430 0.500 x4

Summary:
As for the formation energy from the elements: -15 kJ per mole of atoms. Its total magnetization is 0.00 μB/cell.

Record 3
Computed, not measured: a relaxed Mn3VPt crystal at the PBE level of DFT.

Lattice parameters (Å, degrees): 4.315 4.315 4.315 90.00 90.00 90.00
Space group Pm-3m (No. 221)
Asymmetric unit:
Mn1 0.000 0.000 0.500 x3
V1 0.000 0.000 0.000 x1
Pt1 0.500 0.500 0.500 x1

Summary:
As for the formation energy from the elements: 85 kJ per mole of atoms. Its total magnetization is 7.71 μB/cell.

Record 4
Computed, not measured: a relaxed SmTmBeCo crystal at the PBE level of DFT.

Lattice parameters (Å, degrees): 6.767 6.767 6.767 90.00 90.00 90.00
Space group F-43m (No. 216)
Asymmetric unit:
Sm1 0.000 0.000 0.000 x4
Tm1 0.000 0.000 0.500 x4
Be1 0.250 0.250 0.250 x4
Co1 0.250 0.250 0.750 x4

Summary:
As for the formation energy from the elements: 0 kJ per mole of atoms. Its total magnetization is 0.00 μB/cell.

Record 5
Computed, not measured: a relaxed Tm2ScGaN crystal at the PBE level of DFT.

Lattice parameters (Å, degrees): 4.656 4.656 4.420 90.00 90.00 90.00
Space group P4/mmm (No. 123)
Asymmetric unit:
Tm1 0.000 0.500 0.000 x2
Sc1 0.000 0.000 0.500 x1
Ga1 0.500 0.500 0.500 x1
N1 0.000 0.000 0.000 x1

Summary:
Its energy relative to the elements, uncorrected is -101.9 kJ per mole of atoms. Its total magnetization is 0.00 μB/cell.

Record 6
Computed, not measured: a relaxed BaCdBi crystal at the PBE level of DFT.

Lattice parameters (Å, degrees): 9.518 5.153 13.597 90.00 92.19 90.00
Space group P2_1/m (No. 11)
Asymmetric unit:
Ba1 0.027 0.250 0.217 x2
Ba2 0.320 0.750 0.563 x2
Ba3 0.465 0.750 0.867 x2
Cd1 0.047 0.250 0.536 x2
Cd2 0.142 0.250 0.959 x2
Cd3 0.400 0.750 0.284 x2
Bi1 0.238 0.750 0.080 x2
Bi2 0.244 0.250 0.744 x2
Bi3 0.315 0.250 0.382 x2

Summary:
As for the formation energy from the elements: -57 kJ per mole of atoms. For the relative energy among the computed polymorphs, the calculation gives 0 meV/atom. Its total magnetization is 0.00 μB/cell.

Record 7
Computed, not measured: a relaxed YNbGa3 crystal at the PBE level of DFT.

Lattice parameters (Å, degrees): 4.042 4.042 12.465 90.00 90.00 90.00
Space group I4mm (No. 107)
Asymmetric unit:
Y1 0.000 0.000 0.000 x2
Nb1 0.000 0.000 0.645 x2
Ga1 0.000 0.000 0.436 x2
Ga2 0.000 0.500 0.287 x4

Summary:
As for the formation energy from the elements: -19 kJ per mole of atoms. For the relative energy among the computed polymorphs, the calculation gives 0 meV/atom. Its total magnetization is 1.05 μB/cell.

Record 8
Computed, not measured: a relaxed SrCdRh2 crystal at the PBE level of DFT.

Lattice parameters (Å, degrees): 6.851 6.851 6.851 90.00 90.00 90.00
Space group F-43m (No. 216)
Asymmetric unit:
Sr1 0.000 0.000 0.000 x4
Cd1 0.250 0.250 0.250 x4
Rh1 0.000 0.000 0.500 x4
Rh2 0.250 0.250 0.750 x4

Summary:
As for the formation energy from the elements: 15 kJ per mole of atoms. Its total magnetization is 0.00 μB/cell.